i:
Density functional theory data (PBE) for a relaxed Ca6TlHg crystal.

Its space group is I4/mmm.

The structure in POSCAR format:
```
Ca6TlHg
1.0
-2.751 2.751 9.299
2.751 -2.751 9.299
2.751 2.751 -9.299
Ca Tl Hg
6 1 1
Cartesian
2.751 0.000 1.826
0.000 0.000 4.630
2.751 0.000 7.473
0.000 2.751 1.826
0.000 0.000 13.969
0.000 2.751 7.473
0.000 0.000 0.000
0.000 0.000 9.299
```

ii:
Density functional theory data (PBE) for a relaxed Ca6TlHg crystal.

Its space group is P-1.

The structure in POSCAR format:
```
Ca6TlHg
1.0
7.396 0.000 0.000
-3.697 6.410 0.000
-0.006 -4.266 6.813
Ca Tl Hg
6 1 1
Cartesian
-1.383 2.090 1.696
1.109 -2.022 5.116
2.500 0.162 1.696
1.193 1.982 5.117
2.584 4.166 1.697
5.077 0.054 5.118
3.695 -2.133 3.407
0.000 0.000 0.000
```

Order from most stable to least stable according to the calculation: i, ii

i:
Density functional theory data (PBE) for a relaxed Ca4Tl3Hg crystal.

Its space group is Pmm2.

The structure in POSCAR format:
```
Ca4Tl3Hg
1.0
3.970 0.000 0.000
0.000 5.077 0.000
0.000 0.000 11.986
Ca Tl Hg
4 3 1
Cartesian
0.000 0.000 0.000
0.000 2.538 3.372
1.985 0.000 5.850
1.985 2.538 9.428
0.000 0.000 8.671
0.000 2.538 6.644
1.985 2.538 0.697
1.985 0.000 2.653
```

ii:
Density functional theory data (PBE) for a relaxed Ca4Tl3Hg crystal.

Its space group is P4/mmm.

The structure in POSCAR format:
```
Ca4Tl3Hg
1.0
3.869 0.000 0.000
0.000 3.869 0.000
0.000 0.000 15.474
Ca Tl Hg
4 3 1
Cartesian
0.000 0.000 1.847
0.000 0.000 5.777
0.000 0.000 9.697
0.000 0.000 13.627
1.935 1.935 3.833
1.935 1.935 7.737
1.935 1.935 11.642
1.935 1.935 0.000
```

Order from most stable to least stable according to the calculation: ii, i

i:
Density functional theory data (PBE) for a relaxed CaTl6Hg crystal.

Its space group is Cmmm.

The structure in POSCAR format:
```
CaTl6Hg
1.0
3.706 -5.602 0.000
3.706 5.602 0.000
0.000 0.000 5.705
Ca Tl Hg
1 6 1
Cartesian
0.000 0.000 0.000
1.853 2.801 0.000
3.706 2.923 2.852
2.029 0.000 2.852
1.853 -2.801 0.000
5.384 0.000 2.852
3.706 -2.923 2.852
3.706 0.000 0.000
```

ii:
Density functional theory data (PBE) for a relaxed CaTl6Hg crystal.

Its space group is P-1.

The structure in POSCAR format:
```
CaTl6Hg
1.0
6.287 0.000 0.000
-0.973 6.247 0.000
-0.791 -0.980 6.244
Ca Tl Hg
1 6 1
Cartesian
0.000 0.000 0.000
-0.453 3.146 1.652
1.192 -0.290 3.445
1.383 3.645 5.959
3.139 1.623 0.285
3.330 5.557 2.799
4.975 2.122 4.592
2.261 2.634 3.122
```

Order from most stable to least stable according to the calculation: i, ii

i:
Density functional theory data (PBE) for a relaxed CaTlHg4 crystal.

Its space group is F-43m.

The structure in POSCAR format:
```
CaTlHg4
1.0
0.000 4.329 4.329
4.329 0.000 4.329
4.329 4.329 0.000
Ca Tl Hg
1 1 4
Cartesian
0.000 0.000 0.000
2.164 2.164 2.164
5.411 3.247 3.247
3.247 5.411 3.247
3.247 3.247 5.411
5.411 5.411 5.411
```

ii:
Density functional theory data (PBE) for a relaxed CaTlHg4 crystal.

Its space group is Pmmm.

The structure in POSCAR format:
```
CaTlHg4
1.0
3.579 0.000 0.000
0.000 5.133 0.000
0.000 0.000 8.880
Ca Tl Hg
1 1 4
Cartesian
0.000 0.000 0.000
0.000 2.567 4.440
1.789 0.000 2.937
1.789 0.000 5.943
1.789 2.567 1.466
1.789 2.567 7.414
```

iii:
Density functional theory data (PBE) for a relaxed CaTlHg4 crystal.

Its space group is P4/mmm.

The structure in POSCAR format:
```
CaTlHg4
1.0
4.460 0.000 0.000
0.000 4.460 0.000
0.000 0.000 9.376
Ca Tl Hg
1 1 4
Cartesian
0.000 0.000 0.000
2.230 2.230 4.688
0.000 2.230 2.282
0.000 2.230 7.094
2.230 0.000 2.282
2.230 0.000 7.094
```

Order from most stable to least stable according to the calculation: ii, i, iii